Record 1
{"formula": "RbNaSbCl6", "functional": "PBE-GGA", "state": "optimized geometry", "n_ef_per_ev_atom": 0.56, "spacegroup": "P312 (149)", "total_energy_ev_per_cell": -28.8, "lattice_angstrom": [[7.1112, 0.0000, 0.0000], [-3.5556, 6.1585, 0.0000], [0.0000, 0.0000, 7.1319]], "species": ["Rb", "Na", "Sb", "Cl", "Cl", "Cl", "Cl", "Cl", "Cl"], "frac_coords": [[0.0000, 0.0000, 0.0000], [0.3333, 0.6667, 0.5000], [0.6667, 0.3333, 0.5000], [0.3859, 0.0309, 0.7073], [0.3859, 0.3550, 0.2927], [0.6450, 0.0309, 0.2927], [0.6450, 0.6141, 0.7073], [0.9691, 0.3550, 0.7073], [0.9691, 0.6141, 0.2927]]}

Record 2
{"formula": "Ca4TlBi3", "functional": "PBE-GGA", "state": "optimized geometry", "n_ef_per_ev_atom": 0.21, "spacegroup": "I4/mcm (140)", "e_form_ev_per_atom": -0.67, "total_energy_ev_per_cell": -54.7, "lattice_angstrom": [[-6.2611, 6.2611, 3.3261], [6.2611, -6.2611, 3.3261], [6.2611, 6.2611, -3.3261]], "species": ["Ca", "Ca", "Ca", "Ca", "Ca", "Ca", "Ca", "Ca", "Tl", "Tl", "Bi", "Bi", "Bi", "Bi", "Bi", "Bi"], "frac_coords": [[0.0716, 0.7782, 0.8498], [0.2218, 0.0716, 0.2934], [0.2782, 0.5716, 0.8498], [0.4284, 0.2782, 0.7066], [0.5716, 0.7218, 0.2934], [0.7218, 0.4284, 0.1502], [0.7782, 0.9284, 0.7066], [0.9284, 0.2218, 0.1502], [0.2500, 0.7500, 0.5000], [0.7500, 0.2500, 0.5000], [0.1746, 0.3254, 0.5000], [0.2500, 0.2500, 0.0000], [0.3254, 0.8254, 0.1507], [0.6746, 0.1746, 0.8493], [0.7500, 0.7500, 0.0000], [0.8254, 0.6746, 0.5000]]}

Record 3
{"formula": "V3HAu", "functional": "PBE-GGA", "state": "optimized geometry", "n_ef_per_ev_atom": 1.31, "spacegroup": "Pm-3m (221)", "relative_energy_mev_per_atom": 0, "total_energy_ev_per_cell": -34.4, "lattice_angstrom": [[3.9062, 0.0000, 0.0000], [0.0000, 3.9062, 0.0000], [0.0000, 0.0000, 3.9062]], "species": ["V", "V", "V", "H", "Au"], "frac_coords": [[0.0000, 0.0000, 0.5000], [0.0000, 0.5000, 0.0000], [0.5000, 0.0000, 0.0000], [0.0000, 0.0000, 0.0000], [0.5000, 0.5000, 0.5000]]}

Record 4
{"formula": "Pr10DySc4", "functional": "PBE-GGA", "state": "optimized geometry", "n_ef_per_ev_atom": 1.01, "spacegroup": "I4/m (87)", "e_form_ev_per_atom": 0.51, "total_energy_ev_per_cell": -70.1, "lattice_angstrom": [[-5.6771, 5.6771, 4.0933], [5.6771, -5.6771, 4.0933], [5.6771, 5.6771, -4.0933]], "species": ["Pr", "Pr", "Pr", "Pr", "Pr", "Pr", "Pr", "Pr", "Pr", "Pr", "Dy", "Sc", "Sc", "Sc", "Sc"], "frac_coords": [[0.0343, 0.9176, 0.3456], [0.0824, 0.4279, 0.1166], [0.2500, 0.7500, 0.5000], [0.3113, 0.9657, 0.8834], [0.4279, 0.3113, 0.3456], [0.5721, 0.6887, 0.6544], [0.6887, 0.0343, 0.1166], [0.7500, 0.2500, 0.5000], [0.9176, 0.5721, 0.8834], [0.9657, 0.0824, 0.6544], [0.0000, 0.0000, 0.0000], [0.2913, 0.5672, 0.8586], [0.4328, 0.2913, 0.7241], [0.5672, 0.7087, 0.2759], [0.7087, 0.4328, 0.1414]]}

Record 5
{"formula": "Pm2BePbO6", "functional": "PBE-GGA", "state": "optimized geometry", "n_ef_per_ev_atom": 0.00, "spacegroup": "P2_1/c (14)", "total_energy_ev_per_cell": -139.7, "lattice_angstrom": [[5.4828, 0.0000, 0.0000], [0.0000, 5.7695, 0.0000], [-5.4138, 0.0000, 7.8474]], "species": ["Pm", "Pm", "Pm", "Pm", "Be", "Be", "Pb", "Pb", "O", "O", "O", "O", "O", "O", "O", "O", "O", "O", "O", "O"], "frac_coords": [[0.2329, 0.0640, 0.2507], [0.2329, 0.4360, 0.7507], [0.7671, 0.5640, 0.2493], [0.7671, 0.9360, 0.7493], [0.0000, 0.0000, 0.5000], [0.0000, 0.5000, 0.0000], [0.5000, 0.0000, 0.0000], [0.5000, 0.5000, 0.5000], [0.1229, 0.2115, 0.9412], [0.1229, 0.2885, 0.4412], [0.2330, 0.6825, 0.9490], [0.2330, 0.8175, 0.4490], [0.3346, 0.0355, 0.7295], [0.3346, 0.4645, 0.2295], [0.6654, 0.5355, 0.7705], [0.6654, 0.9645, 0.2705], [0.7670, 0.1825, 0.5510], [0.7670, 0.3175, 0.0510], [0.8771, 0.7115, 0.5588], [0.8771, 0.7885, 0.0588]]}

Record 6
{"formula": "PrSm3Tc", "functional": "PBE-GGA", "state": "optimized geometry", "n_ef_per_ev_atom": 1.55, "spacegroup": "Pm-3m (221)", "e_form_ev_per_atom": 0.17, "relative_energy_mev_per_atom": 140, "total_energy_ev_per_cell": -28.5, "lattice_angstrom": [[5.4906, 0.0000, 0.0000], [0.0000, 5.4906, 0.0000], [0.0000, 0.0000, 5.4906]], "species": ["Pr", "Sm", "Sm", "Sm", "Tc"], "frac_coords": [[0.0000, 0.0000, 0.0000], [0.0000, 0.5000, 0.5000], [0.5000, 0.0000, 0.5000], [0.5000, 0.5000, 0.0000], [0.5000, 0.5000, 0.5000]]}

Record 7
{"formula": "Sc3CoHg", "functional": "PBE-GGA", "state": "optimized geometry", "n_ef_per_ev_atom": 1.13, "spacegroup": "P6_3/mmc (194)", "e_form_ev_per_atom": -0.26, "relative_energy_mev_per_atom": 35, "total_energy_ev_per_cell": -55.4, "lattice_angstrom": [[6.9038, 0.0000, 0.0000], [-3.4519, 5.9789, 0.0000], [0.0000, 0.0000, 5.0367]], "species": ["Sc", "Sc", "Sc", "Sc", "Sc", "Sc", "Co", "Co", "Hg", "Hg"], "frac_coords": [[0.1799, 0.3599, 0.2500], [0.1799, 0.8201, 0.2500], [0.3599, 0.1799, 0.7500], [0.6401, 0.8201, 0.2500], [0.8201, 0.1799, 0.7500], [0.8201, 0.6401, 0.7500], [0.0000, 0.0000, 0.0000], [0.0000, 0.0000, 0.5000], [0.3333, 0.6667, 0.7500], [0.6667, 0.3333, 0.2500]]}

Record 8
{"formula": "Sr7CaTi8O24", "functional": "PBE-GGA", "state": "optimized geometry", "n_ef_per_ev_atom": 0.00, "spacegroup": "Pm-3m (221)", "total_energy_ev_per_cell": -321.0, "lattice_angstrom": [[7.8737, 0.0000, 0.0000], [0.0000, 7.8737, 0.0000], [0.0000, 0.0000, 7.8737]], "species": ["Sr", "Sr", "Sr", "Sr", "Sr", "Sr", "Sr", "Ca", "Ti", "Ti", "Ti", "Ti", "Ti", "Ti", "Ti", "Ti", "O", "O", "O", "O", "O", "O", "O", "O", "O", "O", "O", "O", "O", "O", "O", "O", "O", "O", "O", "O", "O", "O", "O", "O"], "frac_coords": [[0.0000, 0.0000, 0.0000], [0.0000, 0.0000, 0.5000], [0.0000, 0.5000, 0.0000], [0.0000, 0.5000, 0.5000], [0.5000, 0.0000, 0.0000], [0.5000, 0.0000, 0.5000], [0.5000, 0.5000, 0.0000], [0.5000, 0.5000, 0.5000], [0.2508, 0.2508, 0.2508], [0.2508, 0.2508, 0.7492], [0.2508, 0.7492, 0.2508], [0.2508, 0.7492, 0.7492], [0.7492, 0.2508, 0.2508], [0.7492, 0.2508, 0.7492], [0.7492, 0.7492, 0.2508], [0.7492, 0.7492, 0.7492], [0.0000, 0.2508, 0.2508], [0.0000, 0.2508, 0.7492], [0.0000, 0.7492, 0.2508], [0.0000, 0.7492, 0.7492], [0.2508, 0.0000, 0.2508], [0.2508, 0.0000, 0.7492], [0.2508, 0.2508, 0.0000], [0.2508, 0.7492, 0.0000], [0.2519, 0.2519, 0.5000], [0.2519, 0.5000, 0.2519], [0.2519, 0.5000, 0.7481], [0.2519, 0.7481, 0.5000], [0.5000, 0.2519, 0.2519], [0.5000, 0.2519, 0.7481], [0.5000, 0.7481, 0.2519], [0.5000, 0.7481, 0.7481], [0.7481, 0.2519, 0.5000], [0.7481, 0.5000, 0.2519], [0.7481, 0.5000, 0.7481], [0.7481, 0.7481, 0.5000], [0.7492, 0.0000, 0.2508], [0.7492, 0.0000, 0.7492], [0.7492, 0.2508, 0.0000], [0.7492, 0.7492, 0.0000]]}

Record 9
{"formula": "Ba2LiHg", "functional": "PBE-GGA", "state": "optimized geometry", "n_ef_per_ev_atom": 1.12, "spacegroup": "Cmmm (65)", "e_form_ev_per_atom": -0.25, "total_energy_ev_per_cell": -7.1, "lattice_angstrom": [[4.2448, -4.2506, 0.0000], [4.2448, 4.2506, 0.0000], [0.0000, 0.0000, 4.2746]], "species": ["Ba", "Ba", "Li", "Hg"], "frac_coords": [[0.0000, 0.5000, 0.0000], [0.5000, 0.0000, 0.0000], [0.0000, 0.0000, 0.5000], [0.5000, 0.5000, 0.5000]]}

Record 10
{"formula": "Mn2Ga2Pb", "functional": "PBE-GGA", "state": "optimized geometry", "n_ef_per_ev_atom": 0.77, "spacegroup": "I4/mmm (139)", "e_form_ev_per_atom": 0.24, "total_energy_ev_per_cell": -26.9, "lattice_angstrom": [[-2.0984, 2.0984, 5.4363], [2.0984, -2.0984, 5.4363], [2.0984, 2.0984, -5.4363]], "species": ["Mn", "Mn", "Ga", "Ga", "Pb"], "frac_coords": [[0.2500, 0.7500, 0.5000], [0.7500, 0.2500, 0.5000], [0.1164, 0.1164, 0.0000], [0.8836, 0.8836, 0.0000], [0.5000, 0.5000, 0.0000]]}

Record 11
{"formula": "LaTa2Mn", "functional": "PBE-GGA", "state": "optimized geometry", "n_ef_per_ev_atom": 1.22, "spacegroup": "P4mm (99)", "e_form_ev_per_atom": 0.28, "relative_energy_mev_per_atom": 25, "total_energy_ev_per_cell": -36.7, "lattice_angstrom": [[3.1388, 0.0000, 0.0000], [0.0000, 3.1388, 0.0000], [0.0000, 0.0000, 8.0843]], "species": ["La", "Ta", "Ta", "Mn"], "frac_coords": [[0.0000, 0.0000, 0.0000], [0.0000, 0.0000, 0.4319], [0.5000, 0.5000, 0.6628], [0.5000, 0.5000, 0.2733]]}

Record 12
{"formula": "Cs2CdTe", "functional": "PBE-GGA", "state": "optimized geometry", "n_ef_per_ev_atom": 0.37, "spacegroup": "P4/mmm (123)", "relative_energy_mev_per_atom": 81, "total_energy_ev_per_cell": -8.0, "lattice_angstrom": [[6.0725, 0.0000, 0.0000], [0.0000, 6.0725, 0.0000], [0.0000, 0.0000, 5.1151]], "species": ["Cs", "Cs", "Cd", "Te"], "frac_coords": [[0.0000, 0.5000, 0.0000], [0.5000, 0.0000, 0.0000], [0.0000, 0.0000, 0.5000], [0.5000, 0.5000, 0.5000]]}